# GGA-PBE LiOs, relaxed
# Calculated volume: 72 Å³ per cell
# ΔH_f (0 K): 2.83 eV per atom
# Total DFT energy (no corrections): -14.987 eV for the cell shown
# Total moment: 1.8 μB per formula unit
# ρ: 9.07 g cm⁻³
data_LiOs
_chemical_formula_sum 'Li2 Os2'
_cell_length_a 3.6997
_cell_length_b 3.6997
_cell_length_c 6.0891
_cell_angle_alpha 90.00
_cell_angle_beta 90.00
_cell_angle_gamma 120.00
_space_group_name_H-M_alt 'P 63 m c'
_space_group_IT_number 186
_space_group_name_Hall 'P 6c -2c'
loop_
_atom_site_label
_atom_site_fract_x
_atom_site_fract_y
_atom_site_fract_z
_atom_site_occupancy
Li1 0.3333 0.6667 0.0000 1
Os1 0.3333 0.6667 0.3743 1

***

# GGA-PBE LiOs, relaxed
# Calculated volume: 24 Å³ per cell
# ΔH_f (0 K): 0.77 eV per atom
# Total DFT energy (no corrections): -11.606 eV for the cell shown
# Total moment: 0.0 μB per formula unit
# ρ: 13.64 g cm⁻³
data_LiOs
_chemical_formula_sum 'Li1 Os1'
_cell_length_a 2.8845
_cell_length_b 2.8845
_cell_length_c 2.8845
_cell_angle_alpha 90.00
_cell_angle_beta 90.00
_cell_angle_gamma 90.00
_space_group_name_H-M_alt 'P m -3 m'
_space_group_IT_number 221
_space_group_name_Hall '-P 4 2 3'
loop_
_atom_site_label
_atom_site_fract_x
_atom_site_fract_y
_atom_site_fract_z
_atom_site_occupancy
Li1 0.0000 0.0000 0.0000 1
Os1 0.5000 0.5000 0.5000 1

***

# GGA-PBE Li3Os, relaxed
# E above lowest polymorph: 0.48 eV/f.u.
# Calculated volume: 55 Å³ per cell
# ΔH_f (0 K): 0.23 eV per atom
# Total DFT energy (no corrections): -16.043 eV for the cell shown
# Total moment: 0.0 μB per formula unit
# ρ: 6.40 g cm⁻³
data_Li3Os
_chemical_formula_sum 'Li3 Os1'
_cell_length_a 4.6687
_cell_length_b 4.6687
_cell_length_c 2.5110
_cell_angle_alpha 90.00
_cell_angle_beta 90.00
_cell_angle_gamma 90.00
_space_group_name_H-M_alt 'P 4/m m m'
_space_group_IT_number 123
_space_group_name_Hall '-P 4 2'
loop_
_atom_site_label
_atom_site_fract_x
_atom_site_fract_y
_atom_site_fract_z
_atom_site_occupancy
Li1 0.0000 0.0000 0.0000 1
Li2 0.0000 0.5000 0.5000 1
Os1 0.5000 0.5000 0.0000 1